VASP calculation (PBE-GGA) on a relaxed structure of Be2ZnCu.

Cell lengths 3.7942, 3.7942, 2.8857 Å; angles 90.00, 90.00, 90.00 degrees
Closest atoms and distances in Å follow each position.
Fractional positions:
Be1 0.0000 0.5000 0.0000  4 Cu 2.38, 4 Zn 2.38
Be2 0.5000 0.0000 0.0000  4 Cu 2.38, 4 Zn 2.38
Zn1 0.0000 0.0000 0.5000  8 Be 2.38
Cu1 0.5000 0.5000 0.5000  8 Be 2.38

## Properties
magnetic moment: 0.000 μB/f.u.

VASP calculation (PBE-GGA) on a relaxed structure of HfAs2RhSe.

Cell lengths 5.1013, 5.1013, 5.0306 Å; angles 90.00, 90.00, 90.00 degrees
Closest atoms and distances in Å follow each position.
Fractional positions:
Hf1 0.0000 0.0000 0.0000  2 Se 2.52, 4 As 2.55
As1 0.0000 0.5000 0.0000  2 Hf 2.55
As2 0.5000 0.0000 0.0000  2 Hf 2.55
Rh1 0.5000 0.5000 0.5000  8 As 3.58, 4 Se 3.61
Se1 0.0000 0.0000 0.5000  2 Hf 2.52

## Properties
magnetic moment: 0.971 μB/f.u.
distance to the lowest polymorph of the same formula: 0.221 eV per atom
raw formation energy: 0.568 eV/atom

VASP calculation (PBE-GGA) on a relaxed structure of LiPtS2.

Cell lengths 6.8922, 6.8922, 6.8922 Å; angles 134.13, 134.13, 66.89 degrees
Closest atoms and distances in Å follow each position.
Fractional positions:
Li1 0.0000 0.0000 0.0000  4 S 2.47
Li2 0.7500 0.2500 0.5000  4 S 2.47
Pt1 0.2500 0.7500 0.5000  4 S 2.30
Pt2 0.5000 0.5000 0.0000  4 S 2.30
S1 0.1519 0.6250 0.0269  2 Pt 2.30, 2 Li 2.47
S2 0.3750 0.4019 0.5269  2 Pt 2.30, 2 Li 2.47
S3 0.5981 0.1250 0.9731  2 Pt 2.30, 2 Li 2.47
S4 0.8750 0.8481 0.4731  2 Pt 2.30, 2 Li 2.47

## Properties
magnetic moment: 0.000 μB/f.u.
raw formation energy: -0.441 eV/atom

VASP calculation (PBE-GGA) on a relaxed structure of Pm2Pr2Nd2Y.

Cell lengths 9.0880, 9.0880, 9.0880 Å; angles 37.12, 37.12, 37.12 degrees
Closest atoms and distances in Å follow each position.
Fractional positions:
Pm1 0.0878 0.0878 0.0878  4 Nd 3.37-3.57, 3 Pr 3.64
Pm2 0.9122 0.9122 0.9122  4 Nd 3.37-3.57, 3 Pr 3.64
Pr1 0.3644 0.3644 0.3644  1 Y 3.44, 4 Nd 3.45-3.83, 3 Pm 3.64, 3 Pr 3.69
Pr2 0.6356 0.6356 0.6356  1 Y 3.44, 4 Nd 3.45-3.83, 3 Pm 3.64, 3 Pr 3.69
Nd1 0.2285 0.2285 0.2285  4 Pm 3.37-3.57, 1 Pr 3.45, 3 Y 3.69
Nd2 0.7715 0.7715 0.7715  4 Pm 3.37-3.57, 1 Pr 3.45, 3 Y 3.69
Y1 0.5000 0.5000 0.5000  2 Pr 3.44, 6 Nd 3.69

## Properties
magnetic moment: 0.001 μB/f.u.

VASP calculation (PBE-GGA) on a relaxed structure of BeTcB4.

Cell lengths 6.0553, 10.8569, 3.0291 Å; angles 90.00, 90.00, 90.00 degrees
Closest atoms and distances in Å follow each position.
Fractional positions:
Be1 0.1203 0.0857 0.0000  10 B 2.07-2.20
Be2 0.3797 0.5857 0.0000  10 B 2.07-2.20
Be3 0.6203 0.4143 0.0000  10 B 2.07-2.20
Be4 0.8797 0.9143 0.0000  10 B 2.07-2.20
Tc1 0.0243 0.3684 0.0000  8 B 2.20-2.37
Tc2 0.4757 0.8684 0.0000  8 B 2.20-2.37
Tc3 0.5243 0.1316 0.0000  8 B 2.20-2.37
Tc4 0.9757 0.6316 0.0000  8 B 2.20-2.37
B1 0.0038 0.7983 0.5000  3 B 1.70-1.71
B2 0.1055 0.9447 0.5000  3 B 1.70-1.75
B3 0.1457 0.5195 0.5000  2 B 1.71-1.81
B4 0.2219 0.6983 0.5000  2 B 1.71
B5 0.2781 0.1983 0.5000  2 B 1.71
B6 0.3543 0.0195 0.5000  2 B 1.71-1.81
B7 0.3945 0.4447 0.5000  3 B 1.70-1.75
B8 0.4962 0.2983 0.5000  3 B 1.70-1.71
B9 0.5038 0.7017 0.5000  3 B 1.70-1.71
B10 0.6055 0.5553 0.5000  3 B 1.70-1.75
B11 0.6457 0.9805 0.5000  2 B 1.71-1.81
B12 0.7219 0.8017 0.5000  2 B 1.71
B13 0.7781 0.3017 0.5000  2 B 1.71
B14 0.8543 0.4805 0.5000  2 B 1.71-1.81
B15 0.8945 0.0553 0.5000  3 B 1.70-1.75
B16 0.9962 0.2017 0.5000  3 B 1.70-1.71

## Properties
magnetic moment: 0.000 μB/f.u.

VASP calculation (PBE-GGA) on a relaxed structure of La3TeIrCl.

Cell lengths 9.0588, 4.3443, 9.6797 Å; angles 90.00, 102.28, 90.00 degrees
Closest atoms and distances in Å follow each position.
Fractional positions:
La1 0.0591 0.2500 0.3416  3 Ir 2.92-2.95
La2 0.2284 0.2500 0.9694  2 Cl 2.84, 1 Ir 2.99
La3 0.3575 0.7500 0.6218  1 Cl 2.77, 2 Ir 2.90
La4 0.6425 0.2500 0.3782  1 Cl 2.77, 2 Ir 2.90
La5 0.7716 0.7500 0.0306  2 Cl 2.84, 1 Ir 2.99
La6 0.9409 0.7500 0.6584  3 Ir 2.92-2.95
Te1 0.3309 0.7500 0.2702  7 La 3.36-3.59, 1 Cl 3.66
Te2 0.6691 0.2500 0.7298  7 La 3.36-3.59, 1 Cl 3.66
Ir1 0.1546 0.2500 0.6528  6 La 2.90-2.99
Ir2 0.8454 0.7500 0.3472  6 La 2.90-2.99
Cl1 0.4089 0.7500 0.9140  3 La 2.77-2.84, 2 Cl 3.01
Cl2 0.5911 0.2500 0.0860  3 La 2.77-2.84, 2 Cl 3.01

## Properties
magnetic moment: 0.000 μB/f.u.
raw formation energy: -1.244 eV/atom

Number 1: total DFT energy (no corrections) -3.198 eV per atom. Number 2: total DFT energy (no corrections) -5.450 eV per atom. Number 3: total DFT energy (no corrections) -4.494 eV per atom. Number 4: total DFT energy (no corrections) -4.889 eV per atom. Number 5: total DFT energy (no corrections) -6.716 eV per atom. Number 6: total DFT energy (no corrections) -6.016 eV per atom.